(1)
{
  "formula": "CeCo2Sb2",
  "functional": "PBE",
  "state": "relaxed",
  "lattice_angstrom": [[9.181, 0.000, 0.000], [0.000, 4.225, 0.000], [0.000, 0.000, 10.480]],
  "species": ["Ce", "Ce", "Ce", "Ce", "Co", "Co", "Co", "Co", "Co", "Co", "Co", "Co", "Sb", "Sb", "Sb", "Sb", "Sb", "Sb", "Sb", "Sb"],
  "fractional_positions": [[0.241, 0.250, 0.129], [0.259, 0.750, 0.629], [0.741, 0.250, 0.371], [0.759, 0.750, 0.871], [0.012, 0.250, 0.906], [0.079, 0.250, 0.458], [0.421, 0.750, 0.958], [0.488, 0.750, 0.406], [0.512, 0.250, 0.594], [0.579, 0.250, 0.042], [0.921, 0.750, 0.542], [0.988, 0.750, 0.094], [0.040, 0.750, 0.328], [0.156, 0.750, 0.912], [0.344, 0.250, 0.412], [0.460, 0.250, 0.828], [0.540, 0.750, 0.172], [0.656, 0.750, 0.588], [0.844, 0.250, 0.088], [0.960, 0.250, 0.672]],
  "space_group": "Pnma (62)",
  "dos_ef_per_ev_cell": 25.7,
  "total_energy_ev_per_atom": -6.112,
  "total_magnetization_mub_per_cell": 3.8,
  "e_form_raw_mev_per_atom": -434
}

***

(2)
{
  "formula": "Ce5CoSb4",
  "functional": "PBE",
  "state": "relaxed",
  "lattice_angstrom": [[-4.854, 4.854, 3.142], [4.854, -4.854, 3.142], [4.854, 4.854, -3.142]],
  "species": ["Ce", "Ce", "Ce", "Ce", "Ce", "Co", "Sb", "Sb", "Sb", "Sb"],
  "fractional_positions": [[0.000, 0.000, 0.000], [0.235, 0.406, 0.641], [0.406, 0.765, 0.170], [0.594, 0.235, 0.830], [0.765, 0.594, 0.359], [0.500, 0.500, 0.000], [0.085, 0.691, 0.776], [0.309, 0.085, 0.394], [0.691, 0.915, 0.606], [0.915, 0.309, 0.224]],
  "space_group": "I4/m (87)",
  "dos_ef_per_ev_cell": 26.2,
  "total_energy_ev_per_atom": -6.067,
  "total_magnetization_mub_per_cell": 4.1,
  "e_form_raw_mev_per_atom": -740
}

***

Please write out number 1 again, unchanged.
{
  "formula": "CeCo2Sb2",
  "functional": "PBE",
  "state": "relaxed",
  "lattice_angstrom": [[9.181, 0.000, 0.000], [0.000, 4.225, 0.000], [0.000, 0.000, 10.480]],
  "species": ["Ce", "Ce", "Ce", "Ce", "Co", "Co", "Co", "Co", "Co", "Co", "Co", "Co", "Sb", "Sb", "Sb", "Sb", "Sb", "Sb", "Sb", "Sb"],
  "fractional_positions": [[0.241, 0.250, 0.129], [0.259, 0.750, 0.629], [0.741, 0.250, 0.371], [0.759, 0.750, 0.871], [0.012, 0.250, 0.906], [0.079, 0.250, 0.458], [0.421, 0.750, 0.958], [0.488, 0.750, 0.406], [0.512, 0.250, 0.594], [0.579, 0.250, 0.042], [0.921, 0.750, 0.542], [0.988, 0.750, 0.094], [0.040, 0.750, 0.328], [0.156, 0.750, 0.912], [0.344, 0.250, 0.412], [0.460, 0.250, 0.828], [0.540, 0.750, 0.172], [0.656, 0.750, 0.588], [0.844, 0.250, 0.088], [0.960, 0.250, 0.672]],
  "space_group": "Pnma (62)",
  "dos_ef_per_ev_cell": 25.7,
  "total_energy_ev_per_atom": -6.112,
  "total_magnetization_mub_per_cell": 3.8,
  "e_form_raw_mev_per_atom": -434
}